[1]
# Na3Pb2Br7 | the Alexandria database | PBE-GGA | relaxed
# - Uncorrected energy: -37.738 eV per formula unit
data_Na3Pb2Br7
_chemical_formula_sum 'Na12 Pb8 Br28'
_space_group_name_H-M_alt 'C m c 21'
_space_group_IT_number 36
_cell_length_a 26.567
_cell_length_b 7.700
_cell_length_c 7.973
_cell_angle_alpha 90.00
_cell_angle_beta 90.00
_cell_angle_gamma 90.00
loop_
_space_group_symop_operation_xyz
'x,y,z'
'-x,-y,z+1/2'
'-x,y,z'
'x,-y,z+1/2'
'x+1/2,y+1/2,z'
'-x+1/2,-y+1/2,z+1/2'
'-x+1/2,y+1/2,z'
'x+1/2,-y+1/2,z+1/2'
loop_
_atom_site_label
_atom_site_fract_x
_atom_site_fract_y
_atom_site_fract_z
_atom_site_occupancy
Na1 0.000 0.221 0.000 1
Na2 0.196 0.253 0.119 1
Pb1 0.109 0.254 0.532 1
Br1 0.000 0.124 0.646 1
Br2 0.082 0.392 0.179 1
Br3 0.149 0.056 0.831 1
Br4 0.210 0.397 0.469 1

***

[2]
# HfFeGe2 | the Alexandria database | PBE-GGA | relaxed
# - Energy of formation: -18.5 kJ/mol of atoms
# - Uncorrected energy: -28.419 eV per formula unit
data_HfFeGe2
_chemical_formula_sum 'Hf4 Fe4 Ge8'
_space_group_name_H-M_alt 'P 1 21/c 1'
_space_group_IT_number 14
_cell_length_a 6.799
_cell_length_b 6.966
_cell_length_c 5.408
_cell_angle_alpha 90.00
_cell_angle_beta 91.84
_cell_angle_gamma 90.00
loop_
_space_group_symop_operation_xyz
'x,y,z'
'-x,-y,-z'
'-x,y+1/2,-z+1/2'
'x,-y+1/2,z+1/2'
loop_
_atom_site_label
_atom_site_fract_x
_atom_site_fract_y
_atom_site_fract_z
_atom_site_occupancy
Hf1 0.146 0.097 0.240 1
Fe1 0.343 0.513 0.291 1
Ge1 0.164 0.740 0.014 1
Ge2 0.464 0.230 0.509 1

***

[3]
# TbZrPt2 | the Alexandria database | PBE-GGA | relaxed
# - Energy of formation: -101.6 kJ/mol of atoms
# - Uncorrected energy: -29.472 eV per formula unit
data_TbZrPt2
_chemical_formula_sum 'Tb1 Zr1 Pt2'
_space_group_name_H-M_alt 'P 4/m m m'
_space_group_IT_number 123
_space_group_name_Hall '-P 4 2'
_cell_length_a 3.413
_cell_length_b 3.413
_cell_length_c 7.013
_cell_angle_alpha 90.00
_cell_angle_beta 90.00
_cell_angle_gamma 90.00
loop_
_atom_site_label
_atom_site_fract_x
_atom_site_fract_y
_atom_site_fract_z
_atom_site_occupancy
Tb1 0.000 0.000 0.000 1
Zr1 0.000 0.000 0.500 1
Pt1 0.500 0.500 0.281 1